{
  "formula": "VFeSb",
  "functional": "meta-GGA SCAN",
  "state": "single point on PBEsol structure",
  "cell": [[0.0000, 2.8575, 2.8575], [2.8575, 0.0000, 2.8575], [2.8575, 2.8575, 0.0000]],
  "species": ["V", "Fe", "Sb"],
  "frac_coords": [[0.0000, 0.0000, 0.0000], [0.2500, 0.2500, 0.2500], [0.5000, 0.5000, 0.5000]],
  "total_energy_ev_per_atom": -24.514,
  "magnetic_moment_mub_per_fu": 0.01,
  "mass_density_g_cm3": 8.13
}